(1)
Below is a relaxed TaAlAsSe2 crystal, with properties calculated at the GGA-PBE level.

The excess energy over the best structure of this formula in the dataset comes out at 651 meV per atom. The calculation puts the density of states at the Fermi level at 6.3 states/eV/cell. The calculation puts the total energy at -23.6 eV per cell. Its energy relative to the elements, uncorrected is 0.7221 eV/atom. The total magnetization comes out at 0.0 μB per cell.

It has space group P4/mmm (No. 123), with a = 4.749 Å, b = 4.749 Å, c = 4.750 Å, α = 90.00°, β = 90.00° and γ = 90.00°. The asymmetric unit holds Ta at (0.000, 0.000, 0.000), Al at (0.500, 0.500, 0.500), As at (0.500, 0.500, 0.000) and Se at (0.000, 0.500, 0.500).

(2)
Below is a relaxed NaCaPb2 crystal, with properties calculated at the GGA-PBE level.

The excess energy over the best structure of this formula in the dataset comes out at 274 meV per atom. The calculation puts the density of states at the Fermi level at 13.1 states/eV/cell. The calculation puts the total energy at -44.0 eV per cell. The total magnetization comes out at 0.0 μB per cell. The calculation puts the formation energy at -0.3 eV per formula unit.

It has space group I-42d (No. 122), with a = 8.683 Å, b = 8.683 Å, c = 6.738 Å, α = 90.00°, β = 90.00° and γ = 90.00°. The asymmetric unit holds Na at (0.000, 0.000, 0.000), Ca at (0.000, 0.000, 0.500) and Pb at (0.231, 0.250, 0.125).

(3)
Below is a relaxed CaErH6Ir2 crystal, with properties calculated at the GGA-PBE level.

The calculation puts the density of states at the Fermi level at 15.1 states/eV/cell. The calculation puts the total energy at -196.3 eV per cell. The total magnetization comes out at 0.0 μB per cell.

It has space group C2/c (No. 15), with a = 7.622 Å, b = 9.333 Å, c = 6.100 Å, α = 90.00°, β = 108.20° and γ = 90.00°. The asymmetric unit holds Ca at (0.000, 0.158, 0.250), Er at (0.000, 0.399, 0.750), H at (0.072, 0.387, 0.128), H at (0.187, 0.250, 0.619), H at (0.191, 0.007, 0.056) and Ir at (0.196, 0.127, 0.820).